(one)
Below is an optimized crystal structure of LiScOs, with properties calculated at the GGA-PBE level.

Cell lengths 4.3213, 4.3213, 4.3213 Å; angles 60.00, 60.00, 60.00 degrees
Last column: nearest neighbours and their distance in Å.
Element x y z (fractional)
Li  0.0000  0.0000  0.0000  4 Os 2.65
Sc  0.5000  0.5000  0.5000  4 Os 2.65
Os  0.2500  0.2500  0.2500  4 Sc 2.65, 4 Li 2.65

Calculated values
Size of the total moment = 0.000 μB per atom

---

(two)
Below is an optimized crystal structure of LiScOs, with properties calculated at the GGA-PBE level.

Cell lengths 4.8178, 4.8178, 4.8178 Å; angles 146.98, 127.70, 63.26 degrees
Last column: nearest neighbours and their distance in Å.
Element x y z (fractional)
Li  0.0000  0.0000  0.0000  5 Sc 2.65-2.91, 2 Li 2.74, 5 Os 2.76-2.86
Sc  0.3236  0.3236  0.0000  5 Li 2.65-2.91, 2 Sc 2.74, 5 Os 2.79-2.85
Os  0.6638  0.6638  0.0000  2 Os 2.74, 5 Li 2.76-2.86, 5 Sc 2.79-2.85

Calculated values
Size of the total moment = 0.000 μB per atom

---

Most stable one: (two), least stable one: (one).

---

(one)
Below is an optimized crystal structure of LiOsSe, with properties calculated at the GGA-PBE level.

Cell lengths 3.0009, 3.0009, 6.2196 Å; angles 90.00, 90.00, 120.00 degrees
Last column: nearest neighbours and their distance in Å.
Element x y z (fractional)
Li  0.0000  0.0000  0.0000  3 Os 2.77, 3 Se 2.87, 6 Li 3.00
Os  0.6667  0.3333  0.3470  3 Se 2.48, 3 Li 2.77
Se  0.3333  0.6667  0.6316  3 Os 2.48

Calculated values
Size of the total moment = 0.000 μB per atom

---

(two)
Below is an optimized crystal structure of LiOsSe, with properties calculated at the GGA-PBE level.

Cell lengths 6.9118, 6.6089, 2.9167 Å; angles 83.43, 71.79, 24.79 degrees
Last column: nearest neighbours and their distance in Å.
Element x y z (fractional)
Li  0.0000  0.0000  0.0000  2 Os 2.64, 2 Se 2.72, 4 Li 2.92
Os  0.3301  0.3301  0.6699  2 Se 2.47, 2 Li 2.64
Se  0.6768  0.6768  0.3232  2 Os 2.47, 2 Li 2.72

Calculated values
Size of the total moment = 0.000 μB per atom

---

(three)
Below is an optimized crystal structure of LiOsSe, with properties calculated at the GGA-PBE level.

Cell lengths 4.1464, 4.1464, 3.1533 Å; angles 90.00, 90.00, 120.00 degrees
Last column: nearest neighbours and their distance in Å.
Element x y z (fractional)
Li  0.0000  0.0000  0.0000  6 Se 2.87, 6 Os 2.87, 2 Li 3.15
Os  0.3333  0.6667  0.5000  3 Se 2.39
Se  0.6667  0.3333  0.5000  3 Os 2.39

Calculated values
Size of the total moment = 0.000 μB per atom

---

Most stable one: (three), least stable one: (two).

---

(one)
Below is an optimized crystal structure of Li3OsSe, with properties calculated at the GGA-PBE level.

Cell lengths 4.8604, 4.8604, 4.8604 Å; angles 90.00, 90.00, 90.00 degrees
Last column: nearest neighbours and their distance in Å.
Element x y z (fractional)
Li  0.0000  0.0000  0.5000  2 Os 2.43
Li  0.0000  0.5000  0.0000  2 Os 2.43
Li  0.5000  0.0000  0.0000  2 Os 2.43
Os  0.0000  0.0000  0.0000  6 Li 2.43
Se  0.5000  0.5000  0.5000  12 Li 3.44

Calculated values
Size of the total moment = 0.600 μB per atom

---

(two)
Below is an optimized crystal structure of Li3OsSe, with properties calculated at the GGA-PBE level.

Cell lengths 4.7077, 4.7077, 4.7077 Å; angles 90.00, 90.00, 90.00 degrees
Last column: nearest neighbours and their distance in Å.
Element x y z (fractional)
Li  0.0000  0.0000  0.5000  2 Se 2.35
Li  0.0000  0.5000  0.0000  2 Se 2.35
Li  0.5000  0.0000  0.0000  2 Se 2.35
Os  0.5000  0.5000  0.5000  12 Li 3.33
Se  0.0000  0.0000  0.0000  6 Li 2.35

Calculated values
Size of the total moment = 0.600 μB per atom

---

Most stable one: (two), least stable one: (one).

---

(one)
Below is an optimized crystal structure of Li3SiOs, with properties calculated at the GGA-PBE level.

Cell lengths 4.3595, 4.3595, 4.3595 Å; angles 90.00, 90.00, 90.00 degrees
Last column: nearest neighbours and their distance in Å.
Element x y z (fractional)
Li  0.0000  0.0000  0.5000  2 Si 2.18
Li  0.0000  0.5000  0.0000  2 Si 2.18
Li  0.5000  0.0000  0.0000  2 Si 2.18
Si  0.0000  0.0000  0.0000  6 Li 2.18
Os  0.5000  0.5000  0.5000  12 Li 3.08

Calculated values
Size of the total moment = 0.322 μB per atom

---

(two)
Below is an optimized crystal structure of Li3SiOs, with properties calculated at the GGA-PBE level.

Cell lengths 4.5927, 4.5927, 4.5927 Å; angles 90.00, 90.00, 90.00 degrees
Last column: nearest neighbours and their distance in Å.
Element x y z (fractional)
Li  0.0000  0.0000  0.5000  2 Os 2.30
Li  0.0000  0.5000  0.0000  2 Os 2.30
Li  0.5000  0.0000  0.0000  2 Os 2.30
Si  0.5000  0.5000  0.5000  12 Li 3.25
Os  0.0000  0.0000  0.0000  6 Li 2.30

Calculated values
Size of the total moment = 0.060 μB per atom

---

Most stable one: (one), least stable one: (two).

---

(one)
Below is an optimized crystal structure of LiSm2Os, with properties calculated at the GGA-PBE level.

Cell lengths 4.9975, 4.9975, 4.9975 Å; angles 60.00, 60.00, 60.00 degrees
Last column: nearest neighbours and their distance in Å.
Element x y z (fractional)
Li  0.0000  0.0000  0.0000  8 Sm 3.06
Sm  0.2500  0.2500  0.2500  4 Os 3.06, 4 Li 3.06
Sm  0.7500  0.7500  0.7500  4 Os 3.06, 4 Li 3.06
Os  0.5000  0.5000  0.5000  8 Sm 3.06

Calculated values
Size of the total moment = 0.000 μB per atom

---

(two)
Below is an optimized crystal structure of LiSm2Os, with properties calculated at the GGA-PBE level.

Cell lengths 3.4714, 3.4714, 8.3126 Å; angles 90.00, 90.00, 90.00 degrees
Last column: nearest neighbours and their distance in Å.
Element x y z (fractional)
Li  0.0000  0.0000  0.0000  8 Sm 3.47, 4 Li 3.47
Sm  0.5000  0.5000  0.2951  4 Os 2.99
Sm  0.5000  0.5000  0.7049  4 Os 2.99
Os  0.0000  0.0000  0.5000  8 Sm 2.99

Calculated values
Size of the total moment = 0.000 μB per atom

---

(three)
Below is an optimized crystal structure of LiSm2Os, with properties calculated at the GGA-PBE level.

Cell lengths 10.3593, 10.3593, 10.3593 Å; angles 22.37, 22.37, 22.37 degrees
Last column: nearest neighbours and their distance in Å.
Element x y z (fractional)
Li  0.0000  0.0000  0.0000  2 Sm 3.52
Sm  0.1161  0.1161  0.1161  3 Os 2.78
Sm  0.8839  0.8839  0.8839  3 Os 2.78
Os  0.5000  0.5000  0.5000  6 Sm 2.78

Calculated values
Size of the total moment = 0.000 μB per atom

---

Most stable one: (one), least stable one: (three).

---

(one)
Below is an optimized crystal structure of SrLiOs2, with properties calculated at the GGA-PBE level.

Cell lengths 3.7986, 3.7986, 4.9535 Å; angles 90.00, 90.00, 90.00 degrees
Last column: nearest neighbours and their distance in Å.
Element x y z (fractional)
Sr  0.0000  0.0000  0.0000  4 Li 2.69
Li  0.5000  0.5000  0.0000  4 Sr 2.69
Os  0.0000  0.5000  0.5000  4 Os 2.69
Os  0.5000  0.0000  0.5000  4 Os 2.69

Calculated values
Size of the total moment = 0.000 μB per atom

---

(two)
Below is an optimized crystal structure of SrLiOs2, with properties calculated at the GGA-PBE level.

Cell lengths 2.7561, 2.7561, 9.7824 Å; angles 90.00, 90.00, 115.46 degrees
Last column: nearest neighbours and their distance in Å.
Element x y z (fractional)
Sr  0.0000  0.0000  0.0000  6 Sr 2.76-2.94, 4 Os 3.04
Li  0.0000  0.0000  0.5000  4 Os 2.67, 6 Li 2.76-2.94
Os  0.5000  0.5000  0.2717  2 Li 2.67, 6 Os 2.76-2.94
Os  0.5000  0.5000  0.7283  2 Li 2.67, 6 Os 2.76-2.94

Calculated values
Size of the total moment = 0.000 μB per atom

---

(three)
Below is an optimized crystal structure of SrLiOs2, with properties calculated at the GGA-PBE level.

Cell lengths 5.7577, 5.7577, 5.7577 Å; angles 150.87, 132.78, 56.45 degrees
Last column: nearest neighbours and their distance in Å.
Element x y z (fractional)
Sr  0.0000  0.0000  0.0000  4 Li 2.72, 2 Sr 2.90
Li  0.5000  0.5000  0.0000  4 Sr 2.72, 4 Os 2.73, 2 Li 2.90
Os  0.2718  0.7718  0.5000  2 Li 2.73, 6 Os 2.76-2.90
Os  0.7282  0.2282  0.5000  2 Li 2.73, 6 Os 2.76-2.90

Calculated values
Size of the total moment = 0.000 μB per atom

---

Most stable one: (three), least stable one: (two).